[1]
Here is a relaxed SmErCSe crystal from Alexandria. Energies are from GGA-PBE.

The uncorrected formation energy comes out at -4.30 eV per formula unit. Its crystal system is trigonal.

It has space group R3m (No. 160, hexagonal axes), with a = 3.7616 Å, b = 3.7616 Å, c = 20.3520 Å, α = 90.00°, β = 90.00° and γ = 120.00°. The inequivalent atoms are Sm at (0.0000, 0.0000, 0.0000), Er at (0.0000, 0.0000, 0.1997), C at (0.0000, 0.0000, 0.5977) and Se at (0.0000, 0.0000, 0.7714).

***

[2]
Here is a relaxed Er6Te3CSe2 crystal from Alexandria. Energies are from GGA-PBE.

The uncorrected formation energy comes out at -15.97 eV per formula unit. Its crystal system is monoclinic.

It has space group C2/m (No. 12), with a = 7.0573 Å, b = 12.1811 Å, c = 7.2567 Å, α = 90.00°, β = 108.72° and γ = 90.00°. The inequivalent atoms are Er at (0.2141, 0.1481, 0.2001), Er at (0.2242, 0.0000, 0.7911), Te at (0.0000, 0.1767, 0.5000), Te at (0.0000, 0.5000, 0.5000), C at (0.0000, 0.0000, 0.0000) and Se at (0.0000, 0.3352, 0.0000).